Density functional theory data (PBE) for Tl3AgSn3Se8 after structural relaxation.

Cell lengths 13.878, 7.986, 9.018 Å; angles 90.00, 120.84, 90.00 degrees
Space group C2/m (No. 12)
Symmetry-distinct sites (fractional):
1 Tl 0.000 0.000 0.000
2 Tl 0.250 0.250 0.000
3 Ag 0.000 0.000 0.500
4 Sn 0.000 0.500 0.500
5 Sn 0.250 0.250 0.500
6 Se 0.017 0.253 0.300
7 Se 0.236 0.000 0.701
8 Se 0.236 0.500 0.708

## Properties
V, Å³ per atom: 28.607
E_tot, eV per atom: -3.624
ρ, g/cm3: 6.6
DOS(E_F), states/eV/atom: 0.52

Density functional theory data (PBE) for Tl2AgSn2Se4 after structural relaxation.

Cell lengths 19.876, 3.991, 6.629 Å; angles 90.00, 100.41, 90.00 degrees
Space group C2/m (No. 12)
Symmetry-distinct sites (fractional):
1 Tl 0.125 0.000 0.088
2 Ag 0.000 0.000 0.500
3 Sn 0.153 0.500 0.538
4 Se 0.045 0.500 0.760
5 Se 0.224 0.000 0.761

## Properties
V, Å³ per atom: 28.731
E_tot, eV per atom: -3.581
ρ, g/cm3: 6.9
DOS(E_F), states/eV/atom: 0.32

Density functional theory data (PBE) for Tl2AgSn3Se8 after structural relaxation.

Cell lengths 8.2734, 8.2734, 20.8334 Å; angles 90.00, 90.00, 120.00 degrees
Space group R3m (No. 160, hexagonal axes)
Symmetry-distinct sites (fractional):
1 Tl 0.0000 0.0000 0.0000
2 Tl 0.0000 0.0000 0.3782
3 Ag 0.0000 0.0000 0.6304
4 Sn 0.0093 0.5047 0.5054
5 Se 0.0000 0.0000 0.2435
6 Se 0.0000 0.0000 0.7599
7 Se 0.0240 0.5120 0.7622
8 Se 0.1719 0.3438 0.5812

## Properties
V, Å³ per atom: 29.404
E_tot, eV per atom: -3.627
ρ, g/cm3: 6.1
DOS(E_F), states/eV/atom: 0.49